1.
# InPbCl6 | Alexandria via LeMat-Bulk | PBE-GGA | optimized geometry
# symmetry	R-3 (148)
# raw formation energy	-7.0	eV per formula unit
data_InPbCl6
_chemical_formula_sum 'In1 Pb1 Cl6'
_cell_length_a 6.606
_cell_length_b 6.606
_cell_length_c 7.151
_cell_angle_alpha 62.48
_cell_angle_beta 62.47
_cell_angle_gamma 59.99
_symmetry_space_group_name_H-M 'P 1'
_symmetry_Int_Tables_number 1
loop_
_symmetry_equiv_pos_as_xyz
'x,y,z'
loop_
_atom_site_label
_atom_site_type_symbol
_atom_site_fract_x
_atom_site_fract_y
_atom_site_fract_z
_atom_site_occupancy
Pb1 Pb 0.500 0.500 0.500 1
Cl1 Cl 0.403 0.764 0.761 1
Cl2 Cl 0.764 0.072 0.761 1
Cl3 Cl 0.929 0.597 0.239 1
Cl4 Cl 0.071 0.403 0.761 1
Cl5 Cl 0.236 0.928 0.239 1
Cl6 Cl 0.597 0.236 0.239 1
In1 In 0.000 0.000 0.000 1

---

2.
# ErZrZnRe | Alexandria via LeMat-Bulk | PBE-GGA | optimized geometry
# ΔH_f (0 K)	-0.134	eV per atom
# symmetry	F-43m (216)
data_ErZrZnRe
_chemical_formula_sum 'Er1 Zr1 Zn1 Re1'
_cell_length_a 4.793
_cell_length_b 4.793
_cell_length_c 4.793
_cell_angle_alpha 60.00
_cell_angle_beta 60.00
_cell_angle_gamma 60.00
_symmetry_space_group_name_H-M 'P 1'
_symmetry_Int_Tables_number 1
loop_
_symmetry_equiv_pos_as_xyz
'x,y,z'
loop_
_atom_site_label
_atom_site_type_symbol
_atom_site_fract_x
_atom_site_fract_y
_atom_site_fract_z
_atom_site_occupancy
Zr1 Zr 0.250 0.250 0.250 1
Re1 Re 0.500 0.500 0.500 1
Er1 Er 0.750 0.750 0.750 1
Zn1 Zn 0.000 0.000 0.000 1

---

no.,calculated total energy (eV/atom),total moment (μB per formula unit)
1,-3.063,0.0
2,-6.843,0.0